Record 1
A relaxed Hf2ZrGa crystal. Source: the Open Quantum Materials Database, functional PBE.

Its space group is No. 216. For the energy, the calculation gives -31.721 eV/cell.

abc: 4.8622 4.8622 4.8622
angles: 60.00 60.00 60.00
Last column: nearest neighbours and their distance in Å.
Fractional coordinates of all 4 atoms:
Zr  0.2500  0.2500  0.2500  4 Hf 2.98, 4 Ga 2.98
Hf  0.7500  0.7500  0.7500  4 Hf 2.98, 4 Ga 2.98
Ga  0.5000  0.5000  0.5000  4 Zr 2.98, 4 Hf 2.98
Hf  0.0000  0.0000  0.0000  4 Hf 2.98, 4 Zr 2.98



Record 2
A relaxed HfZr2Ga2 crystal. Source: the Open Quantum Materials Database, functional PBE.

Its space group is No. 127. Its relative energy among the computed polymorphs is 0 meV per atom. For the energy, the calculation gives -71.490 eV/cell.

abc: 7.2841 7.2841 3.7327
angles: 90.00 90.00 90.00
Last column: nearest neighbours and their distance in Å.
Fractional coordinates of all 10 atoms:
Zr  0.8241  0.3241  0.5000  6 Ga 2.78-2.90
Zr  0.1759  0.6759  0.5000  6 Ga 2.78-2.90
Hf  0.0000  0.0000  0.0000  4 Ga 2.88
Ga  0.3756  0.8756  0.0000  1 Ga 2.56, 2 Zr 2.78
Zr  0.6759  0.8241  0.5000  6 Ga 2.78-2.90
Ga  0.8756  0.6244  0.0000  1 Ga 2.56, 2 Zr 2.78
Ga  0.6244  0.1244  0.0000  1 Ga 2.56, 2 Zr 2.78
Ga  0.1244  0.3756  0.0000  1 Ga 2.56, 2 Zr 2.78
Zr  0.3241  0.1759  0.5000  6 Ga 2.78-2.90
Hf  0.5000  0.5000  0.0000  4 Ga 2.88



Record 3
A relaxed HfZrGa2 crystal. Source: the Open Quantum Materials Database, functional PBE.

Its space group is No. 119. Its relative energy among the computed polymorphs is 0 meV per atom. For the energy, the calculation gives -53.715 eV/cell.

abc: 10.5460 10.5460 10.5460
angles: 158.92 158.92 29.98
Last column: nearest neighbours and their distance in Å.
Fractional coordinates of all 8 atoms:
Ga  0.1659  0.1659  0.0000  2 Ga 2.53, 5 Hf 2.77-2.80
Ga  0.0853  0.5853  0.5000  2 Ga 2.53, 5 Zr 2.80-2.82
Hf  0.6979  0.6979  0.0000  7 Ga 2.77-3.00
Zr  0.9468  0.4468  0.5000  7 Ga 2.80-3.00
Zr  0.5532  0.0532  0.5000  7 Ga 2.80-3.00
Hf  0.3021  0.3021  0.0000  7 Ga 2.77-3.00
Ga  0.8341  0.8341  0.0000  2 Ga 2.53, 5 Hf 2.77-2.80
Ga  0.4147  0.9147  0.5000  2 Ga 2.53, 5 Zr 2.80-2.82



Record 4
A relaxed HfZrGa2 crystal. Source: the Open Quantum Materials Database, functional PBE.

Its space group is No. 109. Its relative energy among the computed polymorphs is 0 meV per atom. For the energy, the calculation gives -53.714 eV/cell.

abc: 10.5479 10.5479 10.5479
angles: 158.94 158.94 29.96
Last column: nearest neighbours and their distance in Å.
Fractional coordinates of all 8 atoms:
Hf  0.1974  0.6974  0.5000  7 Ga 2.80-3.00
Zr  0.0526  0.0526  0.0000  7 Ga 2.80-3.00
Ga  0.5846  0.5846  0.0000  2 Ga 2.53, 1 Hf 2.80, 4 Zr 2.80
Ga  0.6653  0.1653  0.5000  2 Ga 2.53, 1 Zr 2.80, 4 Hf 2.80
Zr  0.8026  0.3026  0.5000  7 Ga 2.80-3.00
Ga  0.9153  0.9153  0.0000  2 Ga 2.53, 1 Zr 2.80, 4 Hf 2.80
Ga  0.3346  0.8346  0.5000  2 Ga 2.53, 1 Hf 2.80, 4 Zr 2.80
Hf  0.4474  0.4474  0.0000  7 Ga 2.80-3.00